[1]
KY | PBE-GGA | optimized geometry

Unit cell a=10.985 b=10.985 c=10.985 alpha=90.00 beta=90.00 gamma=90.00
Fractional coordinates of all 12 atoms:
K1 0.000 0.250 0.500
K2 0.000 0.750 0.500
K3 0.250 0.500 0.000
K4 0.500 0.000 0.250
K5 0.500 0.000 0.750
K6 0.750 0.500 0.000
Y1 0.000 0.500 0.250
Y2 0.000 0.500 0.750
Y3 0.250 0.000 0.500
Y4 0.500 0.250 0.000
Y5 0.500 0.750 0.000
Y6 0.750 0.000 0.500

Results
As for the space group: No. 223. The formation energy from the elements comes out at 1.834 eV per atom.


[2]
SnPb8Au2 | PBE-GGA | optimized geometry

Unit cell a=8.326 b=8.326 c=5.781 alpha=106.76 beta=106.76 gamma=65.75
Fractional coordinates of all 11 atoms:
Sn1 0.000 0.000 0.000
Pb1 0.132 0.132 0.590
Pb2 0.176 0.581 0.082
Pb3 0.404 0.404 0.619
Pb4 0.419 0.824 0.918
Pb5 0.581 0.176 0.082
Pb6 0.596 0.596 0.381
Pb7 0.824 0.419 0.918
Pb8 0.868 0.868 0.410
Au1 0.220 0.220 0.184
Au2 0.780 0.780 0.816

Results
As for the space group: No. 12. As for the excess energy over the best structure of this formula in the dataset: 0.0660 eV per atom. The formation energy from the elements comes out at 0.066 eV per atom.


[3]
KCoTcSe3 | PBE-GGA | optimized geometry

Unit cell a=8.545 b=3.692 c=9.590 alpha=90.00 beta=116.42 gamma=90.00
Fractional coordinates of all 12 atoms:
K1 0.247 0.250 0.259
K2 0.753 0.750 0.741
Co1 0.091 0.250 0.605
Co2 0.909 0.750 0.395
Tc1 0.295 0.750 0.823
Tc2 0.705 0.250 0.177
Se1 0.111 0.250 0.855
Se2 0.217 0.750 0.544
Se3 0.472 0.750 0.130
Se4 0.528 0.250 0.870
Se5 0.783 0.250 0.456
Se6 0.889 0.750 0.145

Results
As for the space group: No. 11. The calculation puts the formation energy from raw total energies at -309 kJ/mol of formula units.